Entry 1:
A plane-wave DFT calculation with GGA-PBE was carried out for an optimized crystal structure of Er8Tl3PS3.

```
Er8Tl3PS3
1.0
7.635 -0.005 -0.004
-3.822 6.610 -0.021
-0.001 -4.373 7.681
Tl Er S P
3 8 3 1
Direct
0.000 0.000 0.000
0.500 0.500 0.000
0.000 0.500 0.000
0.266 0.531 0.296
0.764 0.029 0.294
0.264 0.029 0.294
0.236 0.971 0.706
0.765 0.530 0.294
0.235 0.470 0.706
0.736 0.971 0.706
0.734 0.469 0.704
0.500 0.500 0.500
0.500 0.000 0.500
0.000 0.500 0.500
0.000 0.000 0.500
```

Space group = C2/m, No. 12
E_form (uncorrected) = -1083.0 meV per atom

Entry 2:
A plane-wave DFT calculation with GGA-PBE was carried out for an optimized crystal structure of Er8Tl4P3S.

```
Er8Tl4P3S
1.0
7.711 0.000 0.000
0.000 8.996 0.935
-3.855 -3.835 5.441
Tl P Er S
4 3 8 1
Direct
0.000 0.000 0.000
0.000 0.000 0.500
0.500 0.000 0.000
0.500 0.000 0.500
0.000 0.500 0.500
0.500 0.500 0.000
0.500 0.500 0.500
0.731 0.702 0.966
0.765 0.298 0.530
0.733 0.701 0.467
0.267 0.299 0.533
0.269 0.298 0.034
0.765 0.298 0.034
0.235 0.702 0.470
0.235 0.702 0.966
0.000 0.500 0.000
```

Space group = C2/m, No. 12
E_form (uncorrected) = -1018.7 meV per atom

Entry 3:
A plane-wave DFT calculation with GGA-PBE was carried out for an optimized crystal structure of YErPS.

```
YErPS
1.0
-2.721 -2.752 -0.750
0.688 -3.763 0.953
-3.293 -1.174 5.896
Er P S Y
1 1 1 1
Direct
0.197 0.197 0.408
0.943 0.943 0.171
0.445 0.445 0.664
0.691 0.691 0.927
```

Space group = R3m, No. 160
E_form (uncorrected) = -1866.6 meV per atom

Entry 4:
A plane-wave DFT calculation with GGA-PBE was carried out for an optimized crystal structure of Er3Sb2P.

```
Er3Sb2P
1.0
7.254 0.195 0.335
-1.404 7.192 -0.225
-1.404 -3.761 6.135
Er P Sb
6 2 4
Direct
0.000 0.500 0.000
0.003 0.201 0.353
0.503 0.353 0.201
0.500 0.000 0.500
0.997 0.799 0.647
0.497 0.647 0.799
0.750 0.415 0.585
0.250 0.585 0.415
0.750 0.082 0.918
0.250 0.918 0.082
0.250 0.243 0.757
0.750 0.757 0.243
```

Energy above the most stable polymorph in this dataset = 1.4 kJ/mol of atoms
Space group = C2/c, No. 15
E_form (uncorrected) = -1214.8 meV per atom

Entry 5:
A plane-wave DFT calculation with GGA-PBE was carried out for an optimized crystal structure of Er6Sb2P.

```
Er6Sb2P
1.0
6.358 0.000 0.194
0.000 7.940 0.000
-0.517 0.000 9.762
Sb Er P
4 12 2
Direct
0.421 0.117 0.251
0.079 0.617 0.249
0.579 0.883 0.749
0.921 0.383 0.751
0.144 0.319 0.048
0.365 0.819 0.049
0.876 0.973 0.234
0.856 0.681 0.952
0.865 0.681 0.549
0.635 0.181 0.951
0.376 0.527 0.734
0.135 0.319 0.451
0.124 0.027 0.766
0.356 0.819 0.452
0.644 0.181 0.548
0.624 0.473 0.266
0.500 0.500 0.000
0.000 0.000 0.500
```

Space group = P2_1/c, No. 14
E_form (uncorrected) = -824.6 meV per atom

Entry 6:
A plane-wave DFT calculation with GGA-PBE was carried out for an optimized crystal structure of Er3SbP2.

```
Er3SbP2
1.0
-1.237 -3.649 -3.026
2.029 -2.220 5.814
-9.068 0.341 3.295
Er Sb P
6 2 4
Direct
0.626 0.252 0.048
0.374 0.748 0.952
0.626 0.252 0.452
0.374 0.748 0.548
0.904 0.808 0.250
0.096 0.192 0.750
0.777 0.554 0.750
0.223 0.446 0.250
0.530 0.060 0.750
0.470 0.940 0.250
0.000 0.000 0.000
0.000 0.000 0.500
```

Space group = Cmcm, No. 63
E_form (uncorrected) = -984.8 meV per atom

Entry 7:
A plane-wave DFT calculation with GGA-PBE was carried out for an optimized crystal structure of Er3Sb2P.

```
Er3Sb2P
1.0
0.233 -3.568 -6.403
3.471 -3.957 5.106
-12.666 -2.050 3.495
Er Sb P
12 8 4
Direct
0.087 0.069 0.675
0.394 0.412 0.325
0.662 0.144 0.825
0.773 0.773 0.000
0.931 0.913 0.325
0.856 0.338 0.175
0.227 0.227 0.000
0.163 0.681 0.825
0.023 0.523 0.500
0.588 0.606 0.675
0.319 0.837 0.175
0.477 0.977 0.500
0.419 0.419 0.839
0.748 0.748 0.496
0.998 0.498 0.996
0.669 0.169 0.339
0.502 0.002 0.004
0.831 0.331 0.661
0.252 0.252 0.504
0.581 0.581 0.161
0.917 0.917 0.833
0.083 0.083 0.167
0.333 0.833 0.667
0.167 0.667 0.333
```

Energy above the most stable polymorph in this dataset = 0.0 kJ/mol of atoms
Space group = Fddd, No. 70
E_form (uncorrected) = -1229.3 meV per atom

Entry 8:
A plane-wave DFT calculation with GGA-PBE was carried out for an optimized crystal structure of Er3SbP.

```
Er3SbP
1.0
-7.276 1.382 0.499
-1.085 -4.548 -3.217
-0.670 -7.371 10.647
Sb Er P
4 12 4
Direct
0.000 0.500 0.500
0.500 0.000 0.500
0.000 0.500 0.000
0.500 0.000 0.000
0.841 0.103 0.385
0.159 0.897 0.885
0.341 0.397 0.115
0.659 0.603 0.885
0.978 0.614 0.250
0.659 0.603 0.615
0.522 0.114 0.750
0.159 0.897 0.615
0.022 0.386 0.750
0.478 0.886 0.250
0.341 0.397 0.385
0.841 0.103 0.115
0.135 0.118 0.250
0.635 0.382 0.250
0.865 0.882 0.750
0.365 0.618 0.750
```

Space group = Pnma, No. 62
E_form (uncorrected) = -839.5 meV per atom

Entry 9:
A plane-wave DFT calculation with GGA-PBE was carried out for an optimized crystal structure of Er6Sb3P2Se.

```
Er6Sb3P2Se
1.0
-0.182 -2.827 -3.036
-1.112 -6.050 5.698
-8.379 4.106 -0.482
P Er Sb Se
2 6 3 1
Direct
0.167 0.333 0.335
0.833 0.667 0.665
0.992 0.751 0.983
0.667 0.102 0.335
0.673 0.569 0.346
0.008 0.249 0.017
0.333 0.898 0.665
0.327 0.431 0.654
0.500 0.500 0.000
0.163 0.833 0.326
0.837 0.167 0.674
0.500 0.000 0.000
```

Space group = C2/m, No. 12
E_form (uncorrected) = -1368.8 meV per atom

Entry 10:
A plane-wave DFT calculation with GGA-PBE was carried out for an optimized crystal structure of Er6SbP2Se3.

```
Er6SbP2Se3
1.0
4.053 0.000 0.000
0.000 8.196 0.292
-2.026 -2.362 8.582
Er Se Sb P
6 3 1 2
Direct
0.010 0.265 0.019
0.990 0.735 0.981
0.674 0.573 0.347
0.673 0.109 0.345
0.327 0.891 0.655
0.326 0.427 0.653
0.500 0.500 0.000
0.163 0.834 0.326
0.837 0.166 0.674
0.500 0.000 0.000
0.832 0.663 0.664
0.168 0.337 0.336
```

Space group = C2/m, No. 12
E_form (uncorrected) = -1621.6 meV per atom